HoTmMnTc | PBE | optimized geometry

Output
Total energy   -28.25 eV/cell

a = 4.8736 Å, b = 4.8736 Å, c = 4.8736 Å
α = 60.00°, β = 60.00°, γ = 60.00°
Last column: magnetic moment on the atom in μB.
Fractional positions:
1 Tm 0.7500 0.7500 0.7500  -0.07
2 Ho 0.2500 0.2500 0.2500  -0.07
3 Mn 0.5000 0.5000 0.5000  3.45
4 Tc 0.0000 0.0000 0.0000  0.26

---

CaNpB12 | PBE | optimized geometry

Output
Total energy   -99.78 eV/cell

a = 5.8149 Å, b = 5.8149 Å, c = 5.8149 Å
α = 60.00°, β = 60.00°, γ = 60.00°
Last column: magnetic moment on the atom in μB.
Fractional positions:
1 Ca 0.0000 0.0000 0.0000  0.00
2 Np 0.5000 0.5000 0.5000  3.85
3 B 0.9004 0.9004 0.5996  -0.01
4 B 0.4004 0.4004 0.0996  -0.01
5 B 0.5996 0.9004 0.5996  -0.01
6 B 0.0996 0.4004 0.0996  -0.01
7 B 0.9004 0.5996 0.5996  -0.01
8 B 0.4004 0.0996 0.0996  -0.01
9 B 0.9004 0.5996 0.9004  -0.01
10 B 0.4004 0.0996 0.4004  -0.01
11 B 0.5996 0.9004 0.9004  -0.01
12 B 0.0996 0.4004 0.4004  -0.01
13 B 0.5996 0.5996 0.9004  -0.01
14 B 0.0996 0.0996 0.4004  -0.01

---

Ag4Au | PBE | optimized geometry

Output
ΔE to the lowest computed polymorph   25.3 kJ/mol of atoms
Total energy   -13.47 eV/cell

a = 3.7660 Å, b = 3.7660 Å, c = 7.5806 Å
α = 104.37°, β = 104.37°, γ = 90.05°
Fractional positions:
1 Ag 0.7500 0.7500 0.0000
2 Ag 0.2500 0.2500 0.0000
3 Ag 0.9046 0.4046 0.3092
4 Ag 0.0954 0.5954 0.6908
5 Au 0.5000 0.0000 0.5000

---

Pr5Cu2Pb | PBE | optimized geometry

Output
Total energy   -75.22 eV/cell

a = 8.3126 Å, b = 8.3126 Å, c = 8.9301 Å
α = 117.74°, β = 117.74°, γ = 90.00°
Fractional positions:
1 Pr 0.5118 0.7048 0.7167
2 Pr 0.7952 0.9882 0.2833
3 Pr 0.0000 0.0000 0.0000
4 Pr 0.5000 0.5000 0.0000
5 Pr 0.2048 0.0118 0.7167
6 Pr 0.7048 0.2048 0.7167
7 Pr 0.0118 0.5118 0.7167
8 Pr 0.2952 0.7952 0.2833
9 Pr 0.9882 0.4882 0.2833
10 Pr 0.4882 0.2952 0.2833
11 Cu 0.1305 0.3695 0.0000
12 Cu 0.6305 0.1305 0.0000
13 Cu 0.3695 0.8695 0.0000
14 Cu 0.8695 0.6305 0.0000
15 Pb 0.7500 0.7500 0.5000
16 Pb 0.2500 0.2500 0.5000

---

Zr2OsRuN | PBE | optimized geometry

Output
Raw formation energy   596 meV per atom
Total energy   -42.95 eV/cell

a = 5.1850 Å, b = 3.6572 Å, c = 5.1850 Å
α = 90.00°, β = 90.00°, γ = 90.00°
Fractional positions:
1 Ru 0.5000 0.5000 0.5000
2 Os 0.0000 0.0000 0.0000
3 Zr 0.0000 0.0000 0.5000
4 Zr 0.5000 0.0000 0.0000
5 N 0.0000 0.5000 0.0000

---

SrMg2Ru | PBE | optimized geometry

Output
Total energy   -12.22 eV/cell

a = 6.0881 Å, b = 6.0881 Å, c = 3.1950 Å
α = 77.79°, β = 77.79°, γ = 121.20°
Last column: magnetic moment on the atom in μB.
Fractional positions:
1 Mg 0.0000 0.0000 0.0000  0.00
2 Mg 0.5000 0.5000 0.0000  0.00
3 Ru 0.5000 0.0000 0.5000  0.79
4 Sr 0.0000 0.5000 0.5000  -0.02

---

Cs2UAgTe4 | PBE | optimized geometry

Output
Raw formation energy   -613 meV per atom
Total energy   -66.64 eV/cell

a = 6.8498 Å, b = 8.6152 Å, c = 14.4403 Å
α = 84.59°, β = 76.28°, γ = 66.58°
Last column: magnetic moment on the atom in μB.
Fractional positions:
1 Cs 0.1797 0.0000 0.6406  0.00
2 Cs 0.8203 0.0000 0.3594  0.00
3 Cs 0.5703 0.5000 0.8594  0.00
4 Cs 0.9297 0.5000 0.1406  0.00
5 U 0.7500 0.5000 0.5000  1.44
6 U 0.0000 0.0000 0.0000  1.44
7 Ag 0.2500 0.5000 0.5000  -0.03
8 Ag 0.5000 0.0000 0.0000  -0.03
9 Te 0.3026 0.7871 0.1100  -0.07
10 Te 0.1997 0.2129 0.8900  -0.07
11 Te 0.9103 0.7871 0.8900  -0.07
12 Te 0.5874 0.2129 0.1100  -0.07
13 Te 0.4474 0.7129 0.3900  -0.07
14 Te 0.5503 0.2871 0.6100  -0.07
15 Te 0.8397 0.7129 0.6100  -0.07
16 Te 0.1626 0.2871 0.3900  -0.07

---

SnMo2Se | PBE | optimized geometry

Output
ΔE to the lowest computed polymorph   0.0 kJ/mol of atoms
Raw formation energy   371 meV per atom
Total energy   -27.66 eV/cell

a = 4.5937 Å, b = 4.5937 Å, c = 4.5937 Å
α = 60.00°, β = 60.00°, γ = 60.00°
Fractional positions:
1 Mo 0.2500 0.2500 0.2500
2 Mo 0.7500 0.7500 0.7500
3 Sn 0.5000 0.5000 0.5000
4 Se 0.0000 0.0000 0.0000

---

GaNiP2Cl | PBE | optimized geometry

Output
ΔE to the lowest computed polymorph   77.0 kJ/mol of atoms
Raw formation energy   980 meV per atom
Total energy   -16.57 eV/cell

a = 4.6916 Å, b = 4.6916 Å, c = 4.7591 Å
α = 90.00°, β = 90.00°, γ = 90.00°
Last column: magnetic moment on the atom in μB.
Fractional positions:
1 Ni 0.5000 0.5000 0.5000  0.62
2 P 0.0000 0.5000 0.0000  -0.03
3 P 0.5000 0.0000 0.0000  -0.03
4 Ga 0.0000 0.0000 0.0000  0.00
5 Cl 0.0000 0.0000 0.5000  0.01

---

Tl2CrCl | PBE | optimized geometry

Output
ΔE to the lowest computed polymorph   34.1 kJ/mol of atoms
Raw formation energy   274 meV per atom
Total energy   -15.11 eV/cell

a = 5.2918 Å, b = 5.2918 Å, c = 5.2918 Å
α = 60.00°, β = 60.00°, γ = 60.00°
Last column: magnetic moment on the atom in μB.
Fractional positions:
1 Cr 0.7500 0.7500 0.7500  4.14
2 Tl 0.0000 0.0000 0.0000  0.03
3 Tl 0.2500 0.2500 0.2500  0.00
4 Cl 0.5000 0.5000 0.5000  0.05

---

Sr2UGeSe5 | PBE | optimized geometry

Output
Raw formation energy   -1285 meV per atom
Total energy   -96.51 eV/cell

a = 4.2823 Å, b = 9.2188 Å, c = 13.8640 Å
α = 90.00°, β = 90.00°, γ = 103.43°
Last column: magnetic moment on the atom in μB.
Fractional positions:
1 Sr 0.8704 0.7407 0.8046  0.00
2 Sr 0.0879 0.1758 0.6562  0.00
3 Sr 0.1296 0.2593 0.3046  0.00
4 Sr 0.9121 0.8242 0.1562  0.00
5 U 0.7763 0.5525 0.5317  2.13
6 U 0.2237 0.4475 0.0317  2.13
7 Ge 0.5525 0.1050 0.9451  -0.01
8 Ge 0.4475 0.8950 0.4451  -0.01
9 Se 0.3766 0.7532 0.9891  -0.03
10 Se 0.6961 0.3921 0.8979  -0.05
11 Se 0.4965 0.9930 0.7635  -0.01
12 Se 0.2653 0.5306 0.6714  -0.05
13 Se 0.9279 0.8559 0.5645  -0.05
14 Se 0.6234 0.2468 0.4891  -0.03
15 Se 0.3039 0.6079 0.3979  -0.05
16 Se 0.5035 0.0070 0.2635  -0.01
17 Se 0.7347 0.4694 0.1714  -0.05
18 Se 0.0721 0.1441 0.0645  -0.05

---

PmAlReO6 | PBE | optimized geometry

Output
Raw formation energy   -2332 meV per atom
Total energy   -143.36 eV/cell

a = 4.8203 Å, b = 4.8203 Å, c = 9.4584 Å
α = 90.00°, β = 90.00°, γ = 90.00°
Last column: magnetic moment on the atom in μB.
Fractional positions:
1 Pm 0.5000 0.5000 0.4953  0.03
2 Pm 0.0000 0.0000 0.9953  0.03
3 Al 0.5000 0.5000 0.8373  0.01
4 Al 0.0000 0.0000 0.3373  0.01
5 Re 0.5000 0.5000 0.1660  0.69
6 Re 0.0000 0.0000 0.6660  0.69
7 O 0.1700 0.8300 0.5005  0.02
8 O 0.8300 0.1700 0.5005  0.02
9 O 0.3300 0.3300 0.0005  0.02
10 O 0.6700 0.6700 0.0005  0.02
11 O 0.2253 0.7747 0.1908  -0.01
12 O 0.7747 0.2253 0.1908  -0.01
13 O 0.2747 0.2747 0.6908  -0.01
14 O 0.7253 0.7253 0.6908  -0.01
15 O 0.7788 0.2212 0.8094  0.07
16 O 0.2212 0.7788 0.8094  0.07
17 O 0.7212 0.7212 0.3094  0.07
18 O 0.2788 0.2788 0.3094  0.07